# 1
U2VIr (PBE, relaxed); space group = R-3m; energy relative to the elements = 0.214 eV/atom; E_tot = -9.9246 eV/atom; size of the total moment = 0.00 Bohr magnetons per cell
1.0
1.4295 0.8253 9.9871
-1.4295 0.8253 9.9871
0.0000 -1.6506 9.9871
U V Ir
2 1 1
Cartesian
0.0000 0.0000 2.4832
0.0000 0.0000 27.4781
0.0000 0.0000 0.0000
0.0000 0.0000 14.9807



# 2
UIr2W (PBE, relaxed); space group = R-3m; energy relative to the elements = -0.092 eV/atom; E_tot = -10.5829 eV/atom; size of the total moment = 0.48 Bohr magnetons per cell; ΔE to the lowest computed polymorph = 253.5 meV per atom
1.0
1.3997 0.8081 9.7395
-1.3997 0.8081 9.7395
0.0000 -1.6163 9.7395
U Ir W
1 2 1
Cartesian
0.0000 0.0000 0.0000
0.0000 0.0000 7.1118
0.0000 0.0000 22.1068
0.0000 0.0000 14.6093